A plane-wave DFT calculation with GGA-PBE was carried out for crystalline Li6UN4 at its relaxed geometry.

abc: 7.216 7.216 4.797
angles: 90.00 90.00 90.00
Element x y z (fractional)
1 Li 0.036 0.536 0.250
2 Li 0.036 0.964 0.250
3 Li 0.250 0.250 0.184
4 Li 0.250 0.250 0.684
5 Li 0.464 0.536 0.250
6 Li 0.464 0.964 0.250
7 Li 0.536 0.036 0.750
8 Li 0.536 0.464 0.750
9 Li 0.750 0.750 0.316
10 Li 0.750 0.750 0.816
11 Li 0.964 0.036 0.750
12 Li 0.964 0.464 0.750
13 U 0.250 0.750 0.750
14 U 0.750 0.250 0.250
15 N 0.008 0.250 0.441
16 N 0.250 0.008 0.941
17 N 0.250 0.492 0.941
18 N 0.492 0.250 0.441
19 N 0.508 0.750 0.559
20 N 0.750 0.508 0.059
21 N 0.750 0.992 0.059
22 N 0.992 0.750 0.559

Results
Formation energy without anion corrections = -682 meV per atom
Magnetic moment = 0.00 μB/f.u.